Below is crystalline CdAs2CBr at its relaxed geometry, with properties calculated at the PBE level.

Its uncorrected formation energy is 88 kJ/mol of atoms. The energy above the most stable polymorph in this dataset comes out at 0.0000 eV per atom.

It has space group P4/mmm (No. 123), with a = 4.1402 Å, b = 4.1402 Å, c = 7.5495 Å, α = 90.00°, β = 90.00° and γ = 90.00°. The inequivalent atoms are Cd at (0.0000, 0.0000, 0.0000), As at (0.0000, 0.5000, 0.5000), C at (0.5000, 0.5000, 0.5000) and Br at (0.5000, 0.5000, 0.0000).